The following is a PBE calculation of Ba3CoN after structural relaxation, from Alexandria via LeMat-Bulk.

CIF file:
```
data_Ba3CoN
_chemical_formula_sum 'Ba3 Co1 N1'
_space_group_name_H-M_alt 'P m -3 m'
_space_group_IT_number 221
_space_group_name_Hall '-P 4 2 3'
_cell_length_a 5.555
_cell_length_b 5.555
_cell_length_c 5.555
_cell_angle_alpha 90.00
_cell_angle_beta 90.00
_cell_angle_gamma 90.00
loop_
_atom_site_label
_atom_site_type_symbol
_atom_site_fract_x
_atom_site_fract_y
_atom_site_fract_z
_atom_site_occupancy
Ba1 Ba 0.000 0.000 0.500 1
Co1 Co 0.500 0.500 0.500 1
N1 N 0.000 0.000 0.000 1
```

## Properties
**Crystal system**: cubic

The following is a PBE calculation of Ba3Co5N12 after structural relaxation, from Alexandria via LeMat-Bulk.

CIF file:
```
data_Ba3Co5N12
_chemical_formula_sum 'Ba24 Co40 N96'
_space_group_name_H-M_alt 'I a -3 d'
_space_group_IT_number 230
_space_group_name_Hall '-I 4bd 2c 3'
_cell_length_a 12.744
_cell_length_b 12.744
_cell_length_c 12.744
_cell_angle_alpha 90.00
_cell_angle_beta 90.00
_cell_angle_gamma 90.00
loop_
_atom_site_label
_atom_site_type_symbol
_atom_site_fract_x
_atom_site_fract_y
_atom_site_fract_z
_atom_site_occupancy
Ba1 Ba 0.000 0.250 0.125 1
Co1 Co 0.000 0.000 0.000 1
Co2 Co 0.000 0.250 0.375 1
N1 N 0.039 0.143 0.951 1
```

## Properties
**Crystal system**: cubic

The following is a PBE calculation of Ba12Co3N5 after structural relaxation, from Alexandria via LeMat-Bulk.

CIF file:
```
data_Ba12Co3N5
_chemical_formula_sum 'Ba96 Co24 N40'
_space_group_name_H-M_alt 'I a -3 d'
_space_group_IT_number 230
_space_group_name_Hall '-I 4bd 2c 3'
_cell_length_a 17.326
_cell_length_b 17.326
_cell_length_c 17.326
_cell_angle_alpha 90.00
_cell_angle_beta 90.00
_cell_angle_gamma 90.00
loop_
_atom_site_label
_atom_site_type_symbol
_atom_site_fract_x
_atom_site_fract_y
_atom_site_fract_z
_atom_site_occupancy
Ba1 Ba 0.026 0.053 0.653 1
Co1 Co 0.000 0.250 0.125 1
N1 N 0.000 0.000 0.000 1
N2 N 0.000 0.250 0.375 1
```

## Properties
**Crystal system**: cubic

The following is a PBE calculation of BaCoN2 after structural relaxation, from Alexandria via LeMat-Bulk.

CIF file:
```
data_BaCoN2
_chemical_formula_sum 'Ba4 Co4 N8'
_space_group_name_H-M_alt 'I -4 2 d'
_space_group_IT_number 122
_space_group_name_Hall 'I -4 2bw'
_cell_length_a 5.872
_cell_length_b 5.872
_cell_length_c 6.930
_cell_angle_alpha 90.00
_cell_angle_beta 90.00
_cell_angle_gamma 90.00
loop_
_atom_site_label
_atom_site_type_symbol
_atom_site_fract_x
_atom_site_fract_y
_atom_site_fract_z
_atom_site_occupancy
Ba1 Ba 0.000 0.000 0.000 1
Co1 Co 0.000 0.000 0.500 1
N1 N 0.111 0.250 0.625 1
```

## Properties
**Crystal system**: tetragonal
**Energy above the lowest structure with this stoichiometry**: 0.125 eV per atom

The following is a PBE calculation of BaCoN2 after structural relaxation, from Alexandria via LeMat-Bulk.

CIF file:
```
data_BaCoN2
_chemical_formula_sum 'Ba4 Co4 N8'
_space_group_name_H-M_alt 'F m -3 m'
_space_group_IT_number 225
_space_group_name_Hall '-F 4 2 3'
_cell_length_a 6.197
_cell_length_b 6.197
_cell_length_c 6.197
_cell_angle_alpha 90.00
_cell_angle_beta 90.00
_cell_angle_gamma 90.00
loop_
_atom_site_label
_atom_site_type_symbol
_atom_site_fract_x
_atom_site_fract_y
_atom_site_fract_z
_atom_site_occupancy
Ba1 Ba 0.000 0.000 0.000 1
Co1 Co 0.000 0.000 0.500 1
N1 N 0.250 0.250 0.250 1
```

## Properties
**Crystal system**: cubic
**Energy above the lowest structure with this stoichiometry**: 1.526 eV per atom

The following is a PBE calculation of BaCoN after structural relaxation, from Alexandria via LeMat-Bulk.

CIF file:
```
data_BaCoN
_chemical_formula_sum 'Ba1 Co1 N1'
_space_group_name_H-M_alt 'P -6 m 2'
_space_group_IT_number 187
_space_group_name_Hall 'P -6 2'
_cell_length_a 3.4787
_cell_length_b 3.4787
_cell_length_c 4.7498
_cell_angle_alpha 90.00
_cell_angle_beta 90.00
_cell_angle_gamma 120.00
loop_
_atom_site_label
_atom_site_type_symbol
_atom_site_fract_x
_atom_site_fract_y
_atom_site_fract_z
_atom_site_occupancy
Ba1 Ba 0.0000 0.0000 0.0000 1
Co1 Co 0.6667 0.3333 0.5000 1
N1 N 0.3333 0.6667 0.5000 1
```

## Properties
**Crystal system**: hexagonal

The following is a PBE calculation of Ba3Co3N5 after structural relaxation, from Alexandria via LeMat-Bulk.

CIF file:
```
data_Ba3Co3N5
_chemical_formula_sum 'Ba6 Co6 N10'
_space_group_name_H-M_alt 'P -1'
_space_group_IT_number 2
_cell_length_a 6.401
_cell_length_b 7.820
_cell_length_c 8.610
_cell_angle_alpha 68.41
_cell_angle_beta 70.40
_cell_angle_gamma 79.23
loop_
_space_group_symop_operation_xyz
'x,y,z'
'-x,-y,-z'
loop_
_atom_site_label
_atom_site_type_symbol
_atom_site_fract_x
_atom_site_fract_y
_atom_site_fract_z
_atom_site_occupancy
Ba1 Ba 0.027 0.213 0.273 1
Ba2 Ba 0.289 0.621 0.361 1
Ba3 Ba 0.352 0.921 0.891 1
Co1 Co 0.131 0.332 0.816 1
Co2 Co 0.318 0.505 0.922 1
Co3 Co 0.431 0.166 0.474 1
N1 N 0.140 0.585 0.091 1
N2 N 0.212 0.266 0.628 1
N3 N 0.329 0.261 0.944 1
N4 N 0.340 0.972 0.431 1
N5 N 0.451 0.662 0.724 1
```

## Properties
**Crystal system**: triclinic

The following is a PBE calculation of BaCoN2 after structural relaxation, from Alexandria via LeMat-Bulk.

CIF file:
```
data_BaCoN2
_chemical_formula_sum 'Ba3 Co3 N6'
_space_group_name_H-M_alt 'R -3 m'
_space_group_IT_number 166
_space_group_name_Hall '-R 3 2"'
_cell_length_a 3.2675
_cell_length_b 3.2675
_cell_length_c 19.1240
_cell_angle_alpha 90.00
_cell_angle_beta 90.00
_cell_angle_gamma 120.00
loop_
_atom_site_label
_atom_site_type_symbol
_atom_site_fract_x
_atom_site_fract_y
_atom_site_fract_z
_atom_site_occupancy
Ba1 Ba 0.0000 0.0000 0.0000 1
Co1 Co 0.0000 0.0000 0.5000 1
N1 N 0.0000 0.0000 0.1312 1
```

## Properties
**Crystal system**: trigonal
**Energy above the lowest structure with this stoichiometry**: 1.112 eV per atom

Number 1: formation energy (no corrections) 24 kJ per mole of atoms. Number 2: formation energy (no corrections) 56 kJ per mole of atoms. Number 3: formation energy (no corrections) 6 kJ per mole of atoms. Number 4: formation energy (no corrections) -12 kJ per mole of atoms. Number 5: formation energy (no corrections) 123 kJ per mole of atoms. Number 6: formation energy (no corrections) 16 kJ per mole of atoms. Number 7: formation energy (no corrections) -27 kJ per mole of atoms. Number 8: formation energy (no corrections) 83 kJ per mole of atoms.